The following is a DFT calculation (PBE) of a relaxed PuMg crystal.

Results
- Raw total energy: -0.570 Ry/atom
- Total moment: 6.09 μB/f.u.

Lattice parameters (Å, degrees): 5.263 7.200 5.232 90.00 90.00 90.00
Last column: magnetic moment on the atom in μB.
Element x y z (fractional)
Mg: 0.936 0.001 0.000  -0.01
Mg: 0.436 0.249 0.000  -0.01
Mg: 0.398 0.501 0.500  -0.01
Mg: 0.898 0.749 0.500  -0.01
Pu: 0.937 0.500 0.000  5.71
Pu: 0.437 0.750 0.000  5.69
Pu: 0.397 0.000 0.500  5.68
Pu: 0.897 0.250 0.500  5.71

=====

The following is a DFT calculation (PBE) of a relaxed PuMg2 crystal.

Results
- Raw total energy: -0.419 Ry/atom
- Total moment: 6.03 μB/f.u.

Lattice parameters (Å, degrees): 17.731 3.091 5.315 90.00 90.00 90.00
Element x y z (fractional)
Mg: 0.003 0.000 0.000
Mg: 0.344 0.000 0.000
Mg: 0.503 0.500 0.000
Mg: 0.844 0.500 0.000
Mg: 0.100 0.000 0.500
Mg: 0.442 0.000 0.500
Mg: 0.600 0.500 0.500
Mg: 0.942 0.500 0.500
Pu: 0.674 0.000 0.000
Pu: 0.174 0.500 0.000
Pu: 0.771 0.000 0.500
Pu: 0.271 0.500 0.500

=====

The following is a DFT calculation (PBE) of a relaxed PuMg crystal.

Results
- Raw total energy: -0.569 Ry/atom
- Total moment: 6.12 μB/f.u.

Lattice parameters (Å, degrees): 17.741 6.682 5.304 90.00 90.00 78.99
Element x y z (fractional)
Mg: 0.171 0.159 0.000
Mg: 0.830 0.311 0.000
Mg: 0.332 0.322 0.000
Mg: 0.670 0.630 0.000
Mg: 0.832 0.784 0.000
Mg: 0.330 0.852 0.000
Mg: 0.274 0.120 0.500
Mg: 0.612 0.426 0.500
Mg: 0.114 0.438 0.500
Mg: 0.773 0.589 0.500
Mg: 0.614 0.900 0.500
Mg: 0.112 0.963 0.500
Pu: 0.668 0.133 0.000
Pu: 0.002 0.476 0.000
Pu: 0.493 0.496 0.000
Pu: 0.169 0.664 0.000
Pu: 0.994 0.981 0.000
Pu: 0.503 0.988 0.000
Pu: 0.777 0.084 0.500
Pu: 0.450 0.259 0.500
Pu: 0.942 0.273 0.500
Pu: 0.277 0.617 0.500
Pu: 0.950 0.766 0.500
Pu: 0.442 0.768 0.500

=====

The following is a DFT calculation (PBE) of a relaxed PuMg crystal.

Results
- Raw total energy: -0.570 Ry/atom
- Total moment: 5.98 μB/f.u.

Lattice parameters (Å, degrees): 5.821 6.679 5.167 90.00 90.00 90.00
Last column: magnetic moment on the atom in μB.
Element x y z (fractional)
Mg: 0.020 0.006 0.000  -0.01
Mg: 0.520 0.244 0.000  -0.01
Mg: 0.313 0.006 0.500  -0.01
Mg: 0.813 0.244 0.500  -0.01
Pu: 0.018 0.504 0.000  5.60
Pu: 0.518 0.746 0.000  5.68
Pu: 0.316 0.504 0.500  5.68
Pu: 0.816 0.746 0.500  5.61

=====

The following is a DFT calculation (PBE) of a relaxed PuMg crystal.

Results
- Raw total energy: -0.570 Ry/atom
- Total moment: 5.92 μB/f.u.

Lattice parameters (Å, degrees): 5.173 14.901 5.183 90.00 90.00 90.00
Element x y z (fractional)
Mg: 0.921 0.016 0.000
Mg: 0.419 0.125 0.000
Mg: 0.419 0.625 0.000
Mg: 0.921 0.734 0.000
Mg: 0.914 0.125 0.500
Mg: 0.413 0.234 0.500
Mg: 0.413 0.516 0.500
Mg: 0.914 0.625 0.500
Pu: 0.915 0.257 0.000
Pu: 0.412 0.375 0.000
Pu: 0.915 0.493 0.000
Pu: 0.423 0.875 0.000
Pu: 0.910 0.375 0.500
Pu: 0.418 0.757 0.500
Pu: 0.921 0.875 0.500
Pu: 0.418 0.993 0.500

=====

The following is a DFT calculation (PBE) of a relaxed PuMg crystal.

Results
- Raw total energy: -0.494 Ry/atom
- Total moment: 6.92 μB/f.u.

Lattice parameters (Å, degrees): 5.526 5.526 6.388 90.00 90.00 120.00
Last column: magnetic moment on the atom in μB.
Element x y z (fractional)
Mg: 0.333 0.667 0.438  0.03
Mg: 0.000 0.000 0.938  0.03
Pu: 0.000 0.000 0.437  5.84
Pu: 0.333 0.667 0.937  5.84

=====

The following is a DFT calculation (PBE) of a relaxed PuMg crystal.

Results
- Raw total energy: -0.571 Ry/atom
- Total moment: 5.82 μB/f.u.

Lattice parameters (Å, degrees): 11.865 3.154 5.272 90.00 90.00 90.00
Last column: magnetic moment on the atom in μB.
Element x y z (fractional)
Mg: 0.001 0.000 0.000  0.00
Mg: 0.768 0.500 0.000  0.00
Mg: 0.149 0.000 0.500  0.00
Mg: 0.915 0.500 0.500  0.00
Pu: 0.516 0.000 0.000  5.42
Pu: 0.255 0.500 0.000  5.56
Pu: 0.662 0.000 0.500  5.56
Pu: 0.401 0.500 0.500  5.42

=====

The following is a DFT calculation (PBE) of a relaxed PuMg2 crystal.

Results
- Raw total energy: -0.347 Ry/atom
- Total moment: 6.79 μB/f.u.

Lattice parameters (Å, degrees): 6.246 6.246 5.927 90.00 90.00 90.00
Last column: magnetic moment on the atom in μB.
Element x y z (fractional)
Mg: 0.342 0.342 0.000  0.02
Mg: 0.658 0.658 0.000  0.02
Mg: 0.842 0.158 0.500  0.03
Mg: 0.158 0.842 0.500  0.03
Pu: 0.000 0.000 0.000  5.79
Pu: 0.500 0.500 0.500  5.95

=====

Q: The lowest total moment belongs to which entry?
A: number 7